Here is a geometry-optimized PmNd2Br8 structure from Alexandria. Energies are from GGA-PBE.

Results
Mass density, Mg/m³: 5.36
Energy relative to the elements, uncorrected, eV per atom: -1.64
Symmetry: C2/m

Unit cell a=5.9231 b=7.9523 c=7.9523 alpha=111.94 beta=99.41 gamma=99.41
Closest atoms and distances in Å follow each position.
Positions (direct):
Pm 0.5000 0.0000 0.0000  4 Br 2.97-3.08
Nd 0.0000 0.3135 0.6865  8 Br 2.97-3.18
Nd 0.0000 0.6865 0.3135  8 Br 2.97-3.18
Br 0.9095 0.9296 0.6732  2 Nd 2.97-2.99
Br 0.9095 0.6732 0.9296  2 Nd 2.97-2.99
Br 0.3211 0.6381 0.6381  1 Pm 3.08, 2 Nd 3.13
Br 0.5000 0.7746 0.2254  1 Pm 2.97, 2 Nd 3.18
Br 0.5000 0.2254 0.7746  1 Pm 2.97, 2 Nd 3.18
Br 0.6789 0.3619 0.3619  1 Pm 3.08, 2 Nd 3.13
Br 0.0905 0.3268 0.0704  2 Nd 2.97-2.99
Br 0.0905 0.0704 0.3268  2 Nd 2.97-2.99